[1]
# PBE Ce4In5Pb, optimized geometry
data_Ce4In5Pb
_chemical_formula_sum 'Ce8 In10 Pb2'
_symmetry_space_group_name_H-M 'P m m n'
_symmetry_Int_Tables_number 59
_cell_length_a 6.811
_cell_length_b 10.620
_cell_length_c 8.206
_cell_angle_alpha 90.00
_cell_angle_beta 90.00
_cell_angle_gamma 90.00
loop_
_symmetry_equiv_pos_as_xyz
'x,y,z'
'-x,-y,-z'
'-x+1/2,-y+1/2,z'
'x+1/2,y+1/2,-z'
'x+1/2,-y,-z'
'-x+1/2,y,z'
'-x,y+1/2,-z'
'x,-y+1/2,z'
loop_
_atom_site_label
_atom_site_type_symbol
_atom_site_fract_x
_atom_site_fract_y
_atom_site_fract_z
Ce1 Ce 0.037 0.250 0.183
Ce2 Ce 0.250 0.576 0.500
In1 In 0.036 0.053 0.831
In2 In 0.250 0.750 0.136
Pb1 Pb 0.250 0.250 0.543
# **Energy above the most stable polymorph in this dataset**: 206 meV per atom
# **Calculated volume**: 593.6 Å³/cell
# **DFT formation energy**: -0.075 eV per atom
# **Magnetization**: 4.669 μB/f.u.

=====

[2]
# PBE Pr3ZnHg, optimized geometry
data_Pr3ZnHg
_chemical_formula_sum 'Pr12 Zn4 Hg4'
_symmetry_space_group_name_H-M 'C m c m'
_symmetry_Int_Tables_number 63
_symmetry_space_group_name_Hall '-C 2c 2'
_cell_length_a 5.401
_cell_length_b 20.059
_cell_length_c 5.401
_cell_angle_alpha 90.00
_cell_angle_beta 90.00
_cell_angle_gamma 90.00
loop_
_atom_site_label
_atom_site_type_symbol
_atom_site_fract_x
_atom_site_fract_y
_atom_site_fract_z
Pr1 Pr 0.000 0.064 0.250
Pr2 Pr 0.000 0.250 0.250
Pr3 Pr 0.000 0.434 0.250
Zn1 Zn 0.000 0.153 0.750
Hg1 Hg 0.000 0.344 0.750
# **Energy above the most stable polymorph in this dataset**: 0 meV per atom
# **Calculated volume**: 585.1 Å³/cell
# **DFT formation energy**: -0.291 eV per atom
# **Magnetization**: 0.210 μB/f.u.

=====

[3]
# PBE Zr4RuPb, optimized geometry
data_Zr4RuPb
_chemical_formula_sum 'Zr16 Ru4 Pb4'
_symmetry_space_group_name_H-M 'F -4 3 m'
_symmetry_Int_Tables_number 216
_symmetry_space_group_name_Hall 'F -4 2 3'
_cell_length_a 8.031
_cell_length_b 8.031
_cell_length_c 8.031
_cell_angle_alpha 90.00
_cell_angle_beta 90.00
_cell_angle_gamma 90.00
loop_
_atom_site_label
_atom_site_type_symbol
_atom_site_fract_x
_atom_site_fract_y
_atom_site_fract_z
Zr1 Zr 0.124 0.124 0.376
Ru1 Ru 0.250 0.250 0.750
Pb1 Pb 0.000 0.000 0.000
# **Calculated volume**: 518.0 Å³/cell
# **DFT formation energy**: 0.370 eV per atom
# **Magnetization**: 0.000 μB/f.u.

=====

[4]
# PBE BaNdRh4, optimized geometry
data_BaNdRh4
_chemical_formula_sum 'Ba4 Nd4 Rh16'
_symmetry_space_group_name_H-M 'F -4 3 m'
_symmetry_Int_Tables_number 216
_symmetry_space_group_name_Hall 'F -4 2 3'
_cell_length_a 7.792
_cell_length_b 7.792
_cell_length_c 7.792
_cell_angle_alpha 90.00
_cell_angle_beta 90.00
_cell_angle_gamma 90.00
loop_
_atom_site_label
_atom_site_type_symbol
_atom_site_fract_x
_atom_site_fract_y
_atom_site_fract_z
Ba1 Ba 0.000 0.000 0.000
Nd1 Nd 0.250 0.250 0.250
Rh1 Rh 0.124 0.124 0.624
# **Calculated volume**: 473.1 Å³/cell
# **DFT formation energy**: -0.352 eV per atom
# **Magnetization**: 0.000 μB/f.u.

=====

[5]
# PBE K2Na9Hg4, optimized geometry
data_K2Na9Hg4
_chemical_formula_sum 'K2 Na9 Hg4'
_symmetry_space_group_name_H-M 'P -3 m 1'
_symmetry_Int_Tables_number 164
_symmetry_space_group_name_Hall '-P 3 2"'
_cell_length_a 5.4248
_cell_length_b 5.4248
_cell_length_c 19.9094
_cell_angle_alpha 90.00
_cell_angle_beta 90.00
_cell_angle_gamma 120.00
loop_
_atom_site_label
_atom_site_type_symbol
_atom_site_fract_x
_atom_site_fract_y
_atom_site_fract_z
K1 K 0.3333 0.6667 0.2695
Na1 Na 0.0000 0.0000 0.0000
Na2 Na 0.0000 0.0000 0.1643
Na3 Na 0.0000 0.0000 0.3961
Na4 Na 0.3333 0.6667 0.0644
Na5 Na 0.3333 0.6667 0.4619
Hg1 Hg 0.3333 0.6667 0.6226
Hg2 Hg 0.3333 0.6667 0.8963
# **Calculated volume**: 507.4 Å³/cell
# **DFT formation energy**: -0.131 eV per atom
# **Magnetization**: 0.000 μB/f.u.

=====

[6]
# PBE Al12Ru3Au5, optimized geometry
data_Al12Ru3Au5
_chemical_formula_sum 'Al96 Ru24 Au40'
_symmetry_space_group_name_H-M 'I a -3 d'
_symmetry_Int_Tables_number 230
_symmetry_space_group_name_Hall '-I 4bd 2c 3'
_cell_length_a 14.752
_cell_length_b 14.752
_cell_length_c 14.752
_cell_angle_alpha 90.00
_cell_angle_beta 90.00
_cell_angle_gamma 90.00
loop_
_atom_site_label
_atom_site_type_symbol
_atom_site_fract_x
_atom_site_fract_y
_atom_site_fract_z
Al1 Al 0.007 0.079 0.654
Ru1 Ru 0.000 0.250 0.125
Au1 Au 0.000 0.000 0.000
Au2 Au 0.000 0.250 0.375
# **Calculated volume**: 3210.7 Å³/cell
# **DFT formation energy**: -0.114 eV per atom
# **Magnetization**: 0.000 μB/f.u.

=====

[7]
# PBE BaLaPb2, optimized geometry
data_BaLaPb2
_chemical_formula_sum 'Ba3 La3 Pb6'
_symmetry_space_group_name_H-M 'R -3 m'
_symmetry_Int_Tables_number 166
_symmetry_space_group_name_Hall '-R 3 2"'
_cell_length_a 4.2081
_cell_length_b 4.2081
_cell_length_c 30.2800
_cell_angle_alpha 90.00
_cell_angle_beta 90.00
_cell_angle_gamma 120.00
loop_
_atom_site_label
_atom_site_type_symbol
_atom_site_fract_x
_atom_site_fract_y
_atom_site_fract_z
Ba1 Ba 0.0000 0.0000 0.0000
La1 La 0.0000 0.0000 0.5000
Pb1 Pb 0.0000 0.0000 0.2457
# **Calculated volume**: 464.4 Å³/cell
# **DFT formation energy**: -0.357 eV per atom
# **Magnetization**: 0.000 μB/f.u.

=====

[8]
# PBE Sm3GaRh2, optimized geometry
data_Sm3GaRh2
_chemical_formula_sum 'Sm12 Ga4 Rh8'
_symmetry_space_group_name_H-M 'P n m a'
_symmetry_Int_Tables_number 62
_cell_length_a 12.081
_cell_length_b 3.929
_cell_length_c 12.131
_cell_angle_alpha 90.00
_cell_angle_beta 90.00
_cell_angle_gamma 90.00
loop_
_symmetry_equiv_pos_as_xyz
'x,y,z'
'-x,-y,-z'
'-x+1/2,-y,z+1/2'
'x+1/2,y,-z+1/2'
'x+1/2,-y+1/2,-z+1/2'
'-x+1/2,y+1/2,z+1/2'
'-x,y+1/2,-z'
'x,-y+1/2,z'
loop_
_atom_site_label
_atom_site_type_symbol
_atom_site_fract_x
_atom_site_fract_y
_atom_site_fract_z
Sm1 Sm 0.059 0.250 0.123
Sm2 Sm 0.130 0.750 0.570
Sm3 Sm 0.198 0.250 0.821
Ga1 Ga 0.120 0.250 0.370
Rh1 Rh 0.007 0.750 0.304
Rh2 Rh 0.192 0.750 0.990
# **Calculated volume**: 575.9 Å³/cell
# **DFT formation energy**: -0.686 eV per atom
# **Magnetization**: 0.000 μB/f.u.

=====

[9]
# PBE Ag8SeS6, optimized geometry
data_Ag8SeS6
_chemical_formula_sum 'Ag24 Se3 S18'
_symmetry_space_group_name_H-M 'R -3'
_symmetry_Int_Tables_number 148
_symmetry_space_group_name_Hall '-R 3'
_cell_length_a 10.3608
_cell_length_b 10.3608
_cell_length_c 9.5727
_cell_angle_alpha 90.00
_cell_angle_beta 90.00
_cell_angle_gamma 120.00
loop_
_atom_site_label
_atom_site_type_symbol
_atom_site_fract_x
_atom_site_fract_y
_atom_site_fract_z
Ag1 Ag 0.0000 0.0000 0.1534
Ag2 Ag 0.0660 0.8126 0.6582
Se1 Se 0.0000 0.0000 0.5000
S1 S 0.0244 0.7709 0.1777
# **Calculated volume**: 889.9 Å³/cell
# **Electronic total energy**: -3.30 eV per atom
# **Magnetization**: 0.000 μB/f.u.

=====

[10]
# PBE Rb2HgSe, optimized geometry
data_Rb2HgSe
_chemical_formula_sum 'Rb8 Hg4 Se4'
_symmetry_space_group_name_H-M 'F m -3 m'
_symmetry_Int_Tables_number 225
_symmetry_space_group_name_Hall '-F 4 2 3'
_cell_length_a 8.373
_cell_length_b 8.373
_cell_length_c 8.373
_cell_angle_alpha 90.00
_cell_angle_beta 90.00
_cell_angle_gamma 90.00
loop_
_atom_site_label
_atom_site_type_symbol
_atom_site_fract_x
_atom_site_fract_y
_atom_site_fract_z
Rb1 Rb 0.250 0.250 0.250
Hg1 Hg 0.000 0.000 0.000
Se1 Se 0.000 0.000 0.500
# **Energy above the most stable polymorph in this dataset**: 0 meV per atom
# **Calculated volume**: 587.0 Å³/cell
# **Magnetization**: 0.000 μB/f.u.

=====

[11]
# PBE LiCaCrN3, optimized geometry
data_LiCaCrN3
_chemical_formula_sum 'Li4 Ca4 Cr4 N12'
_symmetry_space_group_name_H-M 'C 1 2/c 1'
_symmetry_Int_Tables_number 15
_cell_length_a 5.362
_cell_length_b 9.868
_cell_length_c 5.182
_cell_angle_alpha 90.00
_cell_angle_beta 103.33
_cell_angle_gamma 90.00
loop_
_symmetry_equiv_pos_as_xyz
'x,y,z'
'-x,-y,-z'
'-x,y,-z+1/2'
'x,-y,z+1/2'
'x+1/2,y+1/2,z'
'-x+1/2,-y+1/2,-z'
'-x+1/2,y+1/2,-z+1/2'
'x+1/2,-y+1/2,z+1/2'
loop_
_atom_site_label
_atom_site_type_symbol
_atom_site_fract_x
_atom_site_fract_y
_atom_site_fract_z
Li1 Li 0.000 0.068 0.250
Ca1 Ca 0.000 0.235 0.750
Cr1 Cr 0.000 0.451 0.250
N1 N 0.000 0.278 0.250
N2 N 0.230 0.453 0.981
# **Calculated volume**: 266.8 Å³/cell
# **Electronic total energy**: -7.06 eV per atom
# **Magnetization**: 0.000 μB/f.u.

=====

[12]
# PBE Sr2CoNi2, optimized geometry
data_Sr2CoNi2
_chemical_formula_sum 'Sr4 Co2 Ni4'
_symmetry_space_group_name_H-M 'I 4/m m m'
_symmetry_Int_Tables_number 139
_symmetry_space_group_name_Hall '-I 4 2'
_cell_length_a 3.451
_cell_length_b 3.451
_cell_length_c 18.058
_cell_angle_alpha 90.00
_cell_angle_beta 90.00
_cell_angle_gamma 90.00
loop_
_atom_site_label
_atom_site_type_symbol
_atom_site_fract_x
_atom_site_fract_y
_atom_site_fract_z
Sr1 Sr 0.000 0.000 0.108
Co1 Co 0.000 0.000 0.500
Ni1 Ni 0.000 0.500 0.250
# **Energy above the most stable polymorph in this dataset**: 155 meV per atom
# **Calculated volume**: 215.0 Å³/cell
# **DFT formation energy**: 0.460 eV per atom
# **Magnetization**: 1.444 μB/f.u.